Entry 1:
A plane-wave DFT calculation with PBEsol was carried out for crystalline TiMnIO2 at its relaxed geometry.

Calculated values
space group = P4/mmm
uncorrected formation energy = -1.09 eV per atom
N(E_F) = 0.53 states/eV/atom

Cell lengths 3.833, 3.833, 5.689 Å; angles 90.00, 90.00, 90.00 degrees
Atoms (fractional coordinates):
Ti 0.000 0.000 0.000
Mn 0.500 0.500 0.500
I 0.000 0.000 0.500
O 0.000 0.500 0.000
O 0.500 0.000 0.000


Entry 2:
A plane-wave DFT calculation with PBEsol was carried out for crystalline NdAl2Ge2 at its relaxed geometry.

Calculated values
space group = P-3m1
total energy = -5.11 eV/atom
N(E_F) = 0.30 states/eV/atom

Cell lengths 4.256, 4.256, 6.767 Å; angles 90.00, 90.00, 120.00 degrees
Atoms (fractional coordinates):
Nd 0.000 0.000 0.000
Al 0.333 0.667 0.643
Al 0.667 0.333 0.357
Ge 0.333 0.667 0.265
Ge 0.667 0.333 0.735


Entry 3:
A plane-wave DFT calculation with PBEsol was carried out for crystalline SrCuPb2 at its relaxed geometry.

Calculated values
space group = I4/mmm
total energy = -3.55 eV/atom
N(E_F) = 0.36 states/eV/atom

Cell lengths 5.244, 5.244, 5.244 Å; angles 119.60, 119.60, 90.69 degrees
Atoms (fractional coordinates):
Sr 0.000 0.000 0.000
Cu 0.500 0.500 0.000
Pb 0.250 0.750 0.500
Pb 0.750 0.250 0.500


Entry 4:
A plane-wave DFT calculation with PBEsol was carried out for crystalline ReBiPCl2 at its relaxed geometry.

Calculated values
space group = P4/mmm
uncorrected formation energy = 1.40 eV per atom
N(E_F) = 0.35 states/eV/atom
energy above the most stable polymorph in this dataset = 4.93 eV/f.u.

Cell lengths 5.146, 5.146, 5.603 Å; angles 90.00, 90.00, 90.00 degrees
Atoms (fractional coordinates):
Re 0.000 0.000 0.000
Bi 0.500 0.500 0.500
P 0.500 0.500 0.000
Cl 0.000 0.500 0.500
Cl 0.500 0.000 0.500


Entry 5:
A plane-wave DFT calculation with PBEsol was carried out for crystalline CrCo3 at its relaxed geometry.

Calculated values
space group = P4/mmm
N(E_F) = 1.41 states/eV/atom
energy above the most stable polymorph in this dataset = 0.39 eV/f.u.

Cell lengths 2.428, 2.428, 6.977 Å; angles 90.00, 90.00, 90.00 degrees
Atoms (fractional coordinates):
Cr 0.000 0.000 0.000
Co 0.000 0.000 0.500
Co 0.500 0.500 0.252
Co 0.500 0.500 0.748


Entry 6:
A plane-wave DFT calculation with PBEsol was carried out for crystalline Li2TaFe at its relaxed geometry.

Calculated values
space group = P4mm
N(E_F) = 0.78 states/eV/atom
energy above the most stable polymorph in this dataset = 0.00 eV/f.u.

Cell lengths 3.031, 3.031, 6.888 Å; angles 90.00, 90.00, 90.00 degrees
Atoms (fractional coordinates):
Li 0.000 0.000 0.000
Li 0.500 0.500 0.274
Ta 0.000 0.000 0.591
Fe 0.500 0.500 0.757


Entry 7:
A plane-wave DFT calculation with PBEsol was carried out for crystalline MoPtRh2 at its relaxed geometry.

Calculated values
space group = C2/m
N(E_F) = 1.15 states/eV/atom
energy above the most stable polymorph in this dataset = 0.25 eV/f.u.

Cell lengths 4.708, 4.708, 4.737 Å; angles 99.45, 99.45, 33.30 degrees
Atoms (fractional coordinates):
Mo 0.000 0.000 0.000
Pt 0.500 0.500 0.500
Rh 0.253 0.253 0.756
Rh 0.747 0.747 0.244


Entry 8:
A plane-wave DFT calculation with PBEsol was carried out for crystalline RbFeTc3 at its relaxed geometry.

Calculated values
space group = Pm-3m
total energy = -6.99 eV/atom
N(E_F) = 0.92 states/eV/atom

Cell lengths 4.533, 4.533, 4.533 Å; angles 90.00, 90.00, 90.00 degrees
Atoms (fractional coordinates):
Rb 0.000 0.000 0.000
Fe 0.500 0.500 0.500
Tc 0.000 0.500 0.500
Tc 0.500 0.000 0.500
Tc 0.500 0.500 0.000